# 1
# Tl3Ag2I2F3

A geometry-optimized Tl3Ag2I2F3 structure (GGA-PBE, Alexandria via LeMat-Bulk).

Cell lengths 11.4816, 11.4816, 11.4816 Å; angles 151.03, 151.03, 41.44 degrees
Fractional coordinates of all 10 atoms:
Tl 0.0000 0.0000 0.0000
Tl 0.3848 0.3848 0.0000
Tl 0.6152 0.6152 0.0000
Ag 0.2173 0.2173 0.0000
Ag 0.7827 0.7827 0.0000
I 0.2500 0.7500 0.5000
I 0.7500 0.2500 0.5000
F 0.1120 0.1120 0.0000
F 0.5000 0.5000 0.0000
F 0.8880 0.8880 0.0000

Properties
Uncorrected formation energy: -21.8 kcal/mol of atoms
Symmetry: I4/mmm, No. 139
Spin magnetization: 0.0 μB/f.u.

# 2
# TmIn2Co

A geometry-optimized TmIn2Co structure (GGA-PBE, Alexandria via LeMat-Bulk).

Cell lengths 7.7629, 6.7748, 6.9217 Å; angles 90.00, 90.00, 90.00 degrees
Fractional coordinates of all 16 atoms:
Tm 0.2089 0.0000 0.0000
Tm 0.2911 0.0000 0.5000
Tm 0.7089 0.0000 0.5000
Tm 0.7911 0.0000 0.0000
In 0.0000 0.2790 0.3259
In 0.0000 0.7210 0.6741
In 0.2500 0.3947 0.7500
In 0.2500 0.6053 0.2500
In 0.5000 0.2790 0.1741
In 0.5000 0.7210 0.8259
In 0.7500 0.3947 0.7500
In 0.7500 0.6053 0.2500
Co 0.0000 0.1123 0.6901
Co 0.0000 0.8877 0.3099
Co 0.5000 0.1123 0.8099
Co 0.5000 0.8877 0.1901

Properties
DOS(E_F): 8.7 states/eV per cell
Symmetry: Pmna, No. 53
Spin magnetization: 0.0 μB/f.u.
Formation energy: -10.6 kJ/mol of atoms

# 3
# Ce4RuPb

A geometry-optimized Ce4RuPb structure (GGA-PBE, Alexandria via LeMat-Bulk).

Cell lengths 7.5914, 7.5914, 6.0121 Å; angles 100.24, 100.24, 110.24 degrees
Fractional coordinates of all 12 atoms:
Ce 0.0632 0.6853 0.9134
Ce 0.1615 0.3728 0.6612
Ce 0.3147 0.9368 0.5866
Ce 0.3728 0.1615 0.1612
Ce 0.6272 0.8385 0.8388
Ce 0.6853 0.0632 0.4134
Ce 0.8385 0.6272 0.3388
Ce 0.9368 0.3147 0.0866
Ru 0.0036 0.9964 0.2500
Ru 0.9964 0.0036 0.7500
Pb 0.3950 0.6050 0.2500
Pb 0.6050 0.3950 0.7500

Properties
Offset from the most stable computed form: 9.9 meV per atom
DOS(E_F): 31.2 states/eV per cell
Symmetry: C2/c, No. 15
Spin magnetization: 2.1 μB/f.u.
Formation energy: -25.9 kJ/mol of atoms

# 4
# LiTlFe2

A geometry-optimized LiTlFe2 structure (GGA-PBE, Alexandria via LeMat-Bulk).

Cell lengths 9.3526, 9.3526, 9.3526 Å; angles 17.83, 17.83, 17.83 degrees
Fractional coordinates of all 4 atoms:
Li 0.0000 0.0000 0.0000
Tl 0.5000 0.5000 0.5000
Fe 0.2528 0.2528 0.2528
Fe 0.7472 0.7472 0.7472

Properties
DOS(E_F): 4.5 states/eV per cell
Symmetry: R-3m, No. 166
Spin magnetization: 5.1 μB/f.u.
Formation energy: 66.6 kJ/mol of atoms

# 5
# DyPuRu

A geometry-optimized DyPuRu structure (GGA-PBE, Alexandria via LeMat-Bulk).

Cell lengths 6.2643, 6.2643, 11.8160 Å; angles 96.34, 96.34, 37.62 degrees
Fractional coordinates of all 12 atoms:
Dy 0.0812 0.0812 0.1532
Dy 0.4075 0.4075 0.3214
Dy 0.5925 0.5925 0.6786
Dy 0.9188 0.9188 0.8468
Pu 0.1356 0.1356 0.4483
Pu 0.2105 0.2105 0.8889
Pu 0.7895 0.7895 0.1111
Pu 0.8644 0.8644 0.5517
Ru 0.2811 0.2811 0.6676
Ru 0.4089 0.4089 0.0602
Ru 0.5911 0.5911 0.9398
Ru 0.7189 0.7189 0.3324

Properties
Offset from the most stable computed form: 0.0 meV per atom
DOS(E_F): 27.8 states/eV per cell
Symmetry: C2/m, No. 12
Spin magnetization: 5.1 μB/f.u.
Formation energy: -18.7 kJ/mol of atoms

# 6
# K2ZnRu

A geometry-optimized K2ZnRu structure (GGA-PBE, Alexandria via LeMat-Bulk).

Cell lengths 5.2222, 5.2222, 5.2222 Å; angles 119.92, 119.92, 90.13 degrees
Fractional coordinates of all 4 atoms:
K 0.0000 0.0000 0.0000
K 0.7500 0.2500 0.5000
Zn 0.2500 0.7500 0.5000
Ru 0.5000 0.5000 0.0000

Properties
DOS(E_F): 6.8 states/eV per cell
Symmetry: I-4m2, No. 119
Spin magnetization: 1.5 μB/f.u.
Formation energy: 90.0 kJ/mol of atoms

# 7
# Np3Tl3AuSe8

A geometry-optimized Np3Tl3AuSe8 structure (GGA-PBE, Alexandria via LeMat-Bulk).

Cell lengths 9.1682, 9.1682, 9.1682 Å; angles 52.81, 52.81, 52.81 degrees
Fractional coordinates of all 15 atoms:
Np 0.0000 0.5000 0.5000
Np 0.5000 0.0000 0.5000
Np 0.5000 0.5000 0.0000
Tl 0.0000 0.0000 0.5000
Tl 0.0000 0.5000 0.0000
Tl 0.5000 0.0000 0.0000
Au 0.0000 0.0000 0.0000
Se 0.2389 0.2389 0.7252
Se 0.2389 0.7252 0.2389
Se 0.2645 0.2645 0.2645
Se 0.2748 0.7611 0.7611
Se 0.7252 0.2389 0.2389
Se 0.7355 0.7355 0.7355
Se 0.7611 0.2748 0.7611
Se 0.7611 0.7611 0.2748

Properties
DOS(E_F): 29.6 states/eV per cell
Uncorrected formation energy: -16.6 kcal/mol of atoms
Symmetry: R-3m, No. 166
Spin magnetization: 9.0 μB/f.u.

# 8
# Na2AcZn

A geometry-optimized Na2AcZn structure (GGA-PBE, Alexandria via LeMat-Bulk).

Cell lengths 12.2226, 12.2226, 12.2226 Å; angles 17.20, 17.20, 17.20 degrees
Fractional coordinates of all 4 atoms:
Na 0.1002 0.1002 0.1002
Na 0.8998 0.8998 0.8998
Ac 0.0000 0.0000 0.0000
Zn 0.5000 0.5000 0.5000

Properties
DOS(E_F): 3.3 states/eV per cell
Symmetry: R-3m, No. 166
Spin magnetization: 0.0 μB/f.u.
Formation energy: 25.3 kJ/mol of atoms

# 9
# CuSiSe2

A geometry-optimized CuSiSe2 structure (GGA-PBE, Alexandria via LeMat-Bulk).

Cell lengths 7.1759, 7.1759, 7.1759 Å; angles 134.53, 134.53, 66.26 degrees
Fractional coordinates of all 8 atoms:
Cu 0.0000 0.0000 0.0000
Cu 0.7500 0.2500 0.5000
Si 0.2500 0.7500 0.5000
Si 0.5000 0.5000 0.0000
Se 0.1235 0.6250 0.9985
Se 0.3750 0.3735 0.4985
Se 0.6265 0.1250 0.0015
Se 0.8750 0.8765 0.5015

Properties
DOS(E_F): 8.3 states/eV per cell
Uncorrected formation energy: -1.3 kcal/mol of atoms
Symmetry: I-42d, No. 122
Spin magnetization: 0.0 μB/f.u.

# 10
# RbUHg2Se6

A geometry-optimized RbUHg2Se6 structure (GGA-PBE, Alexandria via LeMat-Bulk).

Cell lengths 6.8079, 7.3149, 7.7435 Å; angles 62.94, 72.41, 70.70 degrees
Fractional coordinates of all 10 atoms:
Rb 0.0000 0.0000 0.0000
U 0.4510 0.4902 0.5047
Hg 0.3100 0.3195 0.1580
Hg 0.7508 0.6814 0.8273
Se 0.0985 0.3429 0.5220
Se 0.2007 0.5995 0.8224
Se 0.3510 0.8953 0.2939
Se 0.5716 0.0926 0.7361
Se 0.6809 0.3812 0.1800
Se 0.8045 0.6483 0.4711

Properties
DOS(E_F): 2.9 states/eV per cell
Uncorrected formation energy: -13.3 kcal/mol of atoms
Symmetry: P1, No. 1
Spin magnetization: 1.0 μB/f.u.

# 11
# Sm12Y2Er5

A geometry-optimized Sm12Y2Er5 structure (GGA-PBE, Alexandria via LeMat-Bulk).

Cell lengths 10.6540, 10.6540, 6.1918 Å; angles 100.73, 100.73, 66.24 degrees
Fractional coordinates of all 19 atoms:
Sm 0.0449 0.5593 0.8006
Sm 0.0568 0.0568 0.2753
Sm 0.1480 0.6442 0.3852
Sm 0.3558 0.8520 0.6148
Sm 0.3777 0.3777 0.0020
Sm 0.4407 0.9551 0.1994
Sm 0.5593 0.0449 0.8006
Sm 0.6223 0.6223 0.9980
Sm 0.6442 0.1480 0.3852
Sm 0.8520 0.3558 0.6148
Sm 0.9432 0.9432 0.7247
Sm 0.9551 0.4407 0.1994
Y 0.2718 0.7282 0.0000
Y 0.7282 0.2718 0.0000
Er 0.1766 0.1766 0.8609
Er 0.2842 0.2842 0.4496
Er 0.5000 0.5000 0.5000
Er 0.7158 0.7158 0.5504
Er 0.8234 0.8234 0.1391

Properties
Offset from the most stable computed form: 0.0 meV per atom
DOS(E_F): 27.7 states/eV per cell
Symmetry: C2/m, No. 12
Spin magnetization: 0.0 μB/f.u.
Formation energy: 10.1 kJ/mol of atoms

# 12
# AgIr2Au

A geometry-optimized AgIr2Au structure (GGA-PBE, Alexandria via LeMat-Bulk).

Cell lengths 2.8022, 2.8022, 8.2631 Å; angles 90.00, 90.00, 90.00 degrees
Fractional coordinates of all 4 atoms:
Ag 0.0000 0.0000 0.0000
Ir 0.0000 0.0000 0.5293
Ir 0.5000 0.5000 0.7390
Au 0.5000 0.5000 0.2698

Properties
Offset from the most stable computed form: 0.0 meV per atom
DOS(E_F): 3.0 states/eV per cell
Symmetry: P4mm, No. 99
Spin magnetization: 0.0 μB/f.u.
Formation energy: 17.5 kJ/mol of atoms

Number 1: theoretical density 5340 kg/m3. Number 2: theoretical density 8348 kg/m3. Number 3: theoretical density 9338 kg/m3. Number 4: theoretical density 8011 kg/m3. Number 5: theoretical density 11994 kg/m3. Number 6: theoretical density 4030 kg/m3. Number 7: theoretical density 7893 kg/m3. Number 8: theoretical density 4035 kg/m3. Number 9: theoretical density 4483 kg/m3. Number 10: theoretical density 6243 kg/m3. Number 11: theoretical density 7463 kg/m3. Number 12: theoretical density 17641 kg/m3.